[1]
Density functional theory data (GGA-PBEsol) for an optimized crystal structure of Sr2MgHg.

As for the crystal system: orthorhombic. The value obtained for the distance to the lowest polymorph of the same formula is 0.042 eV per atom. The value obtained for the energy of formation is -283 meV per atom.

Unit cell a=3.8850 b=5.7340 c=6.8013 alpha=114.93 beta=106.60 gamma=90.00
Closest atoms and distances in Å follow each position.
Sites, in units of the cell vectors:
Sr (0.9876, 0.9876, 0.9752)  4 Hg 3.48, 4 Sr 3.70-3.88, 4 Mg 3.82-3.85
Sr (0.7883, 0.2883, 0.5766)  2 Hg 3.34, 4 Mg 3.60, 2 Sr 3.70
Mg (0.2033, 0.7033, 0.4066)  2 Hg 2.89
Hg (0.5208, 0.5208, 0.0416)  2 Mg 2.89

---

[2]
Density functional theory data (GGA-PBEsol) for an optimized crystal structure of SrMgHg.

As for the crystal system: tetragonal. The value obtained for the energy of formation is -333 meV per atom.

Unit cell a=3.7893 b=3.7893 c=6.4289 alpha=107.14 beta=107.14 gamma=90.00
Closest atoms and distances in Å follow each position.
Sites, in units of the cell vectors:
Sr (0.6589, 0.6589, 0.3178)  5 Hg 3.43-3.71, 5 Mg 3.43-3.60, 4 Sr 3.79
Mg (0.3652, 0.3652, 0.7303)  4 Hg 2.98
Hg (0.9759, 0.9759, 0.9518)  4 Mg 2.98